[1]
Here is AgPPb2 after structural relaxation from the Alexandria database. Energies are from PBE.

Lattice parameters (Å, degrees): 4.9572 4.9572 3.9456 90.00 90.00 94.26
Last column: nearest neighbours and their distance in Å.
Sites, in units of the cell vectors:
1 Ag 0.0000 0.0000 0.0000  8 Pb 3.17, 2 P 3.37
2 P 0.5000 0.5000 0.0000  8 Pb 3.17, 2 Ag 3.37
3 Pb 0.0000 0.5000 0.5000  4 P 3.17, 4 Ag 3.17, 2 Pb 3.37
4 Pb 0.5000 0.0000 0.5000  4 P 3.17, 4 Ag 3.17, 2 Pb 3.37

Computed properties:
Calculated total energy   -0.270 Ry per atom
Energy of formation from the pure elements   252 meV per atom

---

[2]
Here is Na17AlTl11 after structural relaxation from the Alexandria database. Energies are from PBE.

Lattice parameters (Å, degrees): 10.3784 10.3784 10.2275 109.28 109.28 109.91
Last column: nearest neighbours and their distance in Å.
Sites, in units of the cell vectors:
1 Na 0.0000 0.0000 0.0000  4 Na 3.34-3.50, 6 Tl 3.55-3.58
2 Na 0.0741 0.6604 0.3513  5 Tl 3.26-3.44, 3 Na 3.36-3.54
3 Na 0.0765 0.3535 0.6554  4 Tl 3.29-3.37, 6 Na 3.33-3.66, 1 Al 3.51
4 Na 0.2463 0.9418 0.2488  4 Tl 3.25-3.48, 6 Na 3.34-3.64, 1 Al 3.39
5 Na 0.2514 0.2514 0.9423  5 Tl 3.31-3.46, 7 Na 3.37-3.67
6 Na 0.3255 0.6634 0.6617  4 Na 3.33-3.50, 5 Tl 3.45-3.54, 1 Al 3.49
7 Na 0.3513 0.6557 0.0712  5 Tl 3.28-3.51, 5 Na 3.36-3.64
8 Na 0.3535 0.0765 0.6554  4 Tl 3.29-3.37, 6 Na 3.33-3.66, 1 Al 3.51
9 Na 0.3843 0.9713 0.9707  5 Tl 3.29-3.47, 5 Na 3.36-3.67
10 Na 0.6557 0.3513 0.0712  5 Tl 3.28-3.51, 5 Na 3.36-3.64
11 Na 0.6604 0.0741 0.3513  5 Tl 3.26-3.44, 3 Na 3.36-3.54
12 Na 0.6615 0.6615 0.6598  4 Na 3.49-3.50, 1 Al 3.56, 11 Tl 3.66-3.79
13 Na 0.6634 0.3255 0.6617  4 Na 3.33-3.50, 5 Tl 3.45-3.54, 1 Al 3.49
14 Na 0.6665 0.6665 0.3221  4 Na 3.36-3.49, 6 Tl 3.54-3.69
15 Na 0.9418 0.2463 0.2488  4 Tl 3.25-3.48, 6 Na 3.34-3.64, 1 Al 3.39
16 Na 0.9713 0.3843 0.9707  5 Tl 3.29-3.47, 5 Na 3.36-3.67
17 Na 0.9832 0.9832 0.3859  1 Al 3.36, 4 Tl 3.38-3.47, 7 Na 3.44-3.72
18 Al 0.3007 0.3007 0.4715  3 Tl 2.95-2.96
19 Tl 0.0425 0.6615 0.8517  3 Tl 3.22-3.23, 7 Na 3.28-3.58
20 Tl 0.0440 0.8535 0.6608  3 Tl 3.22-3.25, 7 Na 3.29-3.55
21 Tl 0.2770 0.4674 0.2878  1 Al 2.95, 2 Tl 3.23-3.24, 2 Na 3.25-3.29
22 Tl 0.4588 0.4588 0.8248  1 Al 2.96, 2 Tl 3.29, 1 Na 3.31
23 Tl 0.4674 0.2770 0.2878  1 Al 2.95, 2 Tl 3.23-3.24, 2 Na 3.25-3.29
24 Tl 0.4687 0.8488 0.4652  3 Tl 3.23-3.25, 7 Na 3.27-3.57
25 Tl 0.6586 0.8467 0.0406  3 Tl 3.20-3.29, 6 Na 3.26-3.52
26 Tl 0.6615 0.0425 0.8517  3 Tl 3.22-3.23, 7 Na 3.28-3.58
27 Tl 0.8467 0.6586 0.0406  3 Tl 3.20-3.29, 6 Na 3.26-3.52
28 Tl 0.8488 0.4687 0.4652  3 Tl 3.23-3.25, 7 Na 3.27-3.57
29 Tl 0.8535 0.0440 0.6608  3 Tl 3.22-3.25, 7 Na 3.29-3.55

Computed properties:
Calculated total energy   -0.138 Ry per atom
Energy of formation from the pure elements   -83 meV per atom

---

[3]
Here is Cs2NpHgI6 after structural relaxation from the Alexandria database. Energies are from PBE.

Lattice parameters (Å, degrees): 8.5171 12.8401 11.0783 90.00 90.00 90.00
Last column: nearest neighbours and their distance in Å.
Sites, in units of the cell vectors:
1 Cs 0.2500 0.0326 0.1715  7 I 3.92-4.27
2 Cs 0.2500 0.4674 0.1715  7 I 3.92-4.27
3 Cs 0.7500 0.5326 0.8285  7 I 3.92-4.27
4 Cs 0.7500 0.9674 0.8285  7 I 3.92-4.27
5 Np 0.2500 0.7500 0.8259  6 I 3.00-3.02
6 Np 0.7500 0.2500 0.1741  6 I 3.00-3.02
7 Hg 0.2500 0.2500 0.6570  6 I 3.86-4.15
8 Hg 0.7500 0.7500 0.3430  6 I 3.86-4.15
9 I 0.0040 0.2500 0.3613  1 Np 3.00
10 I 0.0065 0.7500 0.0245  1 Np 3.02
11 I 0.2500 0.5151 0.8221  1 Np 3.02
12 I 0.2500 0.9849 0.8221  1 Np 3.02
13 I 0.4935 0.7500 0.0245  1 Np 3.02
14 I 0.4960 0.2500 0.3613  1 Np 3.00
15 I 0.5040 0.7500 0.6387  1 Np 3.00
16 I 0.5065 0.2500 0.9755  1 Np 3.02
17 I 0.7500 0.0151 0.1779  1 Np 3.02
18 I 0.7500 0.4849 0.1779  1 Np 3.02
19 I 0.9935 0.2500 0.9755  1 Np 3.02
20 I 0.9960 0.7500 0.6387  1 Np 3.00

Computed properties:
Calculated total energy   -0.254 Ry per atom
Formation energy (no corrections)   -1.0272 eV/atom

---

[4]
Here is LiHf2Co after structural relaxation from the Alexandria database. Energies are from PBE.

Lattice parameters (Å, degrees): 4.4975 4.4975 3.2134 90.00 90.00 90.00
Last column: nearest neighbours and their distance in Å.
Sites, in units of the cell vectors:
1 Li 0.0000 0.0000 0.0000  8 Hf 2.76
2 Hf 0.0000 0.5000 0.5000  4 Li 2.76, 4 Co 2.76
3 Hf 0.5000 0.0000 0.5000  4 Li 2.76, 4 Co 2.76
4 Co 0.5000 0.5000 0.0000  8 Hf 2.76

Computed properties:
Calculated total energy   -0.536 Ry per atom
Energy of formation from the pure elements   -59 meV per atom

---

[5]
Here is CaOsO4 after structural relaxation from the Alexandria database. Energies are from PBE.

Lattice parameters (Å, degrees): 5.9061 4.9871 5.5593 90.00 107.93 90.00
Last column: nearest neighbours and their distance in Å.
Sites, in units of the cell vectors:
1 Ca 0.0000 0.0000 0.0000  6 O 2.26-2.46
2 Ca 0.0000 0.5000 0.5000  6 O 2.26-2.46
3 Os 0.5000 0.0000 0.5000  6 O 1.86-1.99
4 Os 0.5000 0.5000 0.0000  6 O 1.86-1.99
5 O 0.1955 0.1471 0.4042  1 Os 1.86
6 O 0.1955 0.3529 0.9042  1 Os 1.86
7 O 0.3880 0.7192 0.6874  2 Os 1.98-1.99
8 O 0.3880 0.7808 0.1874  2 Os 1.98-1.99
9 O 0.6120 0.2192 0.8126  2 Os 1.98-1.99
10 O 0.6120 0.2808 0.3126  2 Os 1.98-1.99
11 O 0.8045 0.6471 0.0958  1 Os 1.86
12 O 0.8045 0.8529 0.5958  1 Os 1.86

Computed properties:
Calculated total energy   -0.528 Ry per atom
Formation energy (no corrections)   -1.6797 eV/atom
Energy above the lowest structure with this stoichiometry   0 meV/atom

---

[6]
Here is Ca2ScTc after structural relaxation from the Alexandria database. Energies are from PBE.

Lattice parameters (Å, degrees): 3.9079 3.9079 6.4581 90.00 90.00 90.00
Last column: nearest neighbours and their distance in Å.
Sites, in units of the cell vectors:
1 Ca 0.0000 0.0000 0.2215  1 Ca 2.86, 4 Tc 3.11
2 Ca 0.0000 0.0000 0.7785  1 Ca 2.86, 4 Tc 3.11
3 Sc 0.5000 0.5000 0.5000  2 Tc 3.23, 8 Ca 3.30
4 Tc 0.5000 0.5000 0.0000  8 Ca 3.11, 2 Sc 3.23

Computed properties:
Calculated total energy   -0.335 Ry per atom
Energy of formation from the pure elements   612 meV per atom
Energy above the lowest structure with this stoichiometry   485 meV/atom

---

[7]
Here is CaMgS2Cl after structural relaxation from the Alexandria database. Energies are from PBE.

Lattice parameters (Å, degrees): 5.2280 5.2280 5.1133 90.00 90.00 90.00
Last column: nearest neighbours and their distance in Å.
Sites, in units of the cell vectors:
1 Ca 0.0000 0.0000 0.0000  2 Cl 2.56, 4 S 2.61
2 Mg 0.5000 0.5000 0.5000  8 S 3.66, 4 Cl 3.70
3 S 0.0000 0.5000 0.0000  2 Ca 2.61
4 S 0.5000 0.0000 0.0000  2 Ca 2.61
5 Cl 0.0000 0.0000 0.5000  2 Ca 2.56

Computed properties:
Calculated total energy   -0.246 Ry per atom
Formation energy (no corrections)   -0.6077 eV/atom
Energy above the lowest structure with this stoichiometry   586 meV/atom

---

[8]
Here is PmDy2Be after structural relaxation from the Alexandria database. Energies are from PBE.

Lattice parameters (Å, degrees): 11.6137 11.6137 11.6137 17.17 17.17 17.17
Last column: nearest neighbours and their distance in Å.
Sites, in units of the cell vectors:
1 Pm 0.0000 0.0000 0.0000  6 Pm 3.47, 6 Dy 3.48
2 Dy 0.4163 0.4163 0.4163  1 Be 2.87
3 Dy 0.5837 0.5837 0.5837  1 Be 2.87
4 Be 0.5000 0.5000 0.5000  2 Dy 2.87

Computed properties:
Calculated total energy   -0.273 Ry per atom
Energy of formation from the pure elements   703 meV per atom
Energy above the lowest structure with this stoichiometry   634 meV/atom

---

The highest calculated total energy belongs to which entry?
Na17AlTl11

---

Copy entry 7 word for word.
Here is CaMgS2Cl after structural relaxation from the Alexandria database. Energies are from PBE.

Lattice parameters (Å, degrees): 5.2280 5.2280 5.1133 90.00 90.00 90.00
Last column: nearest neighbours and their distance in Å.
Sites, in units of the cell vectors:
1 Ca 0.0000 0.0000 0.0000  2 Cl 2.56, 4 S 2.61
2 Mg 0.5000 0.5000 0.5000  8 S 3.66, 4 Cl 3.70
3 S 0.0000 0.5000 0.0000  2 Ca 2.61
4 S 0.5000 0.0000 0.0000  2 Ca 2.61
5 Cl 0.0000 0.0000 0.5000  2 Ca 2.56

Computed properties:
Calculated total energy   -0.246 Ry per atom
Formation energy (no corrections)   -0.6077 eV/atom
Energy above the lowest structure with this stoichiometry   586 meV/atom

---

calculated total energy of number 2 (Na17AlTl11)?
-0.138 Ry per atom